Compound: NaAgSb2I
Source: Alexandria via LeMat-Bulk
Functional: PBE
Structure: relaxed

Computed properties:
uncorrected formation energy: 0.2109 eV per atom
M_tot: 1.88 μB/f.u.
E above lowest polymorph: 0 meV/atom

Cell lengths 5.324, 5.324, 6.674 Å; angles 90.00, 90.00, 90.00 degrees
Space group P4/mmm (No. 123)
Unique sites:
Na (0.000, 0.000, 0.000)
Ag (0.500, 0.500, 0.500)
Sb (0.000, 0.500, 0.500)
I (0.500, 0.500, 0.000)

Compound: Cr2SbCl
Source: Alexandria via LeMat-Bulk
Functional: PBE
Structure: relaxed

Computed properties:
uncorrected formation energy: 0.0952 eV per atom
M_tot: 8.00 μB/f.u.
E above lowest polymorph: 132 meV/atom

Cell lengths 6.687, 3.869, 7.010 Å; angles 90.00, 108.42, 90.00 degrees
Space group C2/m (No. 12)
Unique sites:
Cr (0.246, 0.000, 0.241)
Sb (0.000, 0.500, 0.000)
Cl (0.000, 0.000, 0.500)

Compound: Tl2SnHg
Source: Alexandria via LeMat-Bulk
Functional: PBE
Structure: relaxed

Computed properties:
ΔH_f (0 K): 0.0358 eV per atom
M_tot: 0.00 μB/f.u.
E above lowest polymorph: 27 meV/atom

Cell lengths 3.643, 3.643, 8.765 Å; angles 90.00, 90.00, 90.00 degrees
Space group P4/mmm (No. 123)
Unique sites:
Tl (0.000, 0.000, 0.245)
Sn (0.500, 0.500, 0.500)
Hg (0.500, 0.500, 0.000)